P) Material: Nd2Sm5
Method: DFT, PBE
State: optimized geometry

Total moment, μB/f.u.: 0.0
Calculated density, g/cm3: 7.18
Symmetry: No. 166

Lattice parameters (Å, degrees): 8.984 8.984 8.984 37.45 37.45 37.45
Sites, in units of the cell vectors:
Nd 0.136 0.136 0.136
Nd 0.864 0.864 0.864
Sm 0.000 0.000 0.000
Sm 0.273 0.273 0.273
Sm 0.415 0.415 0.415
Sm 0.585 0.585 0.585
Sm 0.727 0.727 0.727

Q) Material: Nd2Sm5
Method: DFT, PBE
State: optimized geometry

Total moment, μB/f.u.: 0.0
Calculated density, g/cm3: 7.23
Symmetry: No. 12

Lattice parameters (Å, degrees): 5.677 5.677 9.273 113.12 113.12 64.45
Sites, in units of the cell vectors:
Nd 0.214 0.214 0.143
Nd 0.786 0.786 0.857
Sm 0.071 0.071 0.712
Sm 0.358 0.358 0.573
Sm 0.500 0.500 0.000
Sm 0.642 0.642 0.427
Sm 0.929 0.929 0.288

Relative energies with respect to the most stable structure, expressed in eV/atom: P) 0.021; Q) 0.000.

P) Material: Nd2SmSn
Method: DFT, PBE
State: optimized geometry

Total moment, μB/f.u.: 0.4
Calculated density, g/cm3: 7.08
Symmetry: No. 166

Lattice parameters (Å, degrees): 12.269 12.269 12.269 16.55 16.55 16.55
Sites, in units of the cell vectors:
Nd 0.094 0.094 0.094
Nd 0.906 0.906 0.906
Sm 0.000 0.000 0.000
Sn 0.500 0.500 0.500

Q) Material: Nd2SmSn
Method: DFT, PBE
State: optimized geometry

Total moment, μB/f.u.: 0.0
Calculated density, g/cm3: 7.71
Symmetry: No. 123

Lattice parameters (Å, degrees): 4.922 4.922 4.960 90.00 90.00 90.00
Sites, in units of the cell vectors:
Nd 0.000 0.500 0.000
Nd 0.500 0.000 0.000
Sm 0.000 0.000 0.500
Sn 0.500 0.500 0.500

R) Material: Nd2SmSn
Method: DFT, PBE
State: optimized geometry

Total moment, μB/f.u.: 0.0
Calculated density, g/cm3: 7.60
Symmetry: No. 225

Lattice parameters (Å, degrees): 5.563 5.563 5.563 60.00 60.00 60.00
Sites, in units of the cell vectors:
Nd 0.250 0.250 0.250
Nd 0.750 0.750 0.750
Sm 0.000 0.000 0.000
Sn 0.500 0.500 0.500

Relative energies with respect to the most stable structure, expressed in eV/atom: P) 0.432; Q) 0.000; R) 0.190.

P) Material: Nd3Sm2Sn
Method: DFT, PBE
State: optimized geometry

Total moment, μB/f.u.: 0.0
Calculated density, g/cm3: 7.20
Symmetry: No. 11

Lattice parameters (Å, degrees): 8.888 3.846 11.502 90.00 90.54 90.00
Sites, in units of the cell vectors:
Nd 0.099 0.250 0.400
Nd 0.341 0.750 0.923
Nd 0.393 0.750 0.247
Nd 0.607 0.250 0.753
Nd 0.659 0.250 0.077
Nd 0.901 0.750 0.600
Sm 0.083 0.250 0.110
Sm 0.358 0.750 0.574
Sm 0.642 0.250 0.426
Sm 0.917 0.750 0.890
Sn 0.150 0.250 0.737
Sn 0.850 0.750 0.263

Q) Material: Nd3Sm2Sn
Method: DFT, PBE
State: optimized geometry

Total moment, μB/f.u.: 0.0
Calculated density, g/cm3: 7.40
Symmetry: No. 65

Lattice parameters (Å, degrees): 8.141 8.141 4.988 90.00 90.00 144.68
Sites, in units of the cell vectors:
Nd 0.000 0.000 0.000
Nd 0.337 0.663 0.000
Nd 0.663 0.337 0.000
Sm 0.160 0.840 0.500
Sm 0.840 0.160 0.500
Sn 0.500 0.500 0.500

Relative energies with respect to the most stable structure, expressed in eV/atom: P) 0.068; Q) 0.000.